[1]
A geometry-optimized Nd2PuThBi4 structure, computed with GGA-PBE.

Properties
**Crystal system**: monoclinic
**Spin magnetization**: 5.52 μB/f.u.
**Calculated formation energy**: -725 meV/atom
**V**: 34.292 Å³ per atom
**SG**: P2/m (10)
**Energy**: -6.58 eV per atom

Cell lengths 4.5969, 7.9521, 7.9592 Å; angles 109.45, 90.00, 90.00 degrees
Closest atoms and distances in Å follow each position.
Atoms (fractional coordinates):
Pu  0.0000  0.0000  0.0000  6 Bi 3.23
Bi  0.0000  0.2495  0.7519  1 Pu 3.23, 2 Th 3.24, 3 Nd 3.25-3.26
Bi  0.5000  0.2475  0.2462  2 Pu 3.23, 1 Th 3.24, 3 Nd 3.26-3.27
Bi  0.5000  0.7525  0.7538  2 Pu 3.23, 1 Th 3.24, 3 Nd 3.26-3.27
Bi  0.0000  0.7505  0.2481  1 Pu 3.23, 2 Th 3.24, 3 Nd 3.25-3.26
Nd  0.5000  0.0000  0.5000  6 Bi 3.25-3.26
Nd  0.0000  0.5000  0.5000  6 Bi 3.26-3.27
Th  0.5000  0.5000  0.0000  6 Bi 3.24



[2]
A geometry-optimized ScInH3 structure, computed with GGA-PBE.

Properties
**ΔE to the lowest computed polymorph**: 0.0 kJ/mol of atoms
**Crystal system**: cubic
**Spin magnetization**: 0.00 μB/f.u.
**V**: 11.926 Å³ per atom
**SG**: Pm-3m (221)
**Energy**: -3.98 eV per atom

Cell lengths 3.9068, 3.9068, 3.9068 Å; angles 90.00, 90.00, 90.00 degrees
Closest atoms and distances in Å follow each position.
Atoms (fractional coordinates):
Sc  0.0000  0.0000  0.0000  6 H 1.95
H  0.0000  0.0000  0.5000  2 Sc 1.95
H  0.5000  0.0000  0.0000  2 Sc 1.95
H  0.0000  0.5000  0.0000  2 Sc 1.95
In  0.5000  0.5000  0.5000  12 H 2.76



[3]
A geometry-optimized Ni2AsIr structure, computed with GGA-PBE.

Properties
**Crystal system**: tetragonal
**Spin magnetization**: 1.46 μB/f.u.
**Calculated formation energy**: 110 meV/atom
**V**: 13.086 Å³ per atom
**SG**: I4/mmm (139)
**Energy**: -6.16 eV per atom

Cell lengths 4.6608, 4.6608, 4.6608 Å; angles 133.51, 133.51, 67.86 degrees
Closest atoms and distances in Å follow each position.
Atoms (fractional coordinates):
Ir  0.7500  0.2500  0.5000  4 As 2.60, 8 Ni 2.67
As  0.2500  0.7500  0.5000  4 Ir 2.60, 8 Ni 2.67
Ni  0.5000  0.5000  0.0000  4 Ni 2.60, 4 As 2.67, 4 Ir 2.67
Ni  0.0000  0.0000  0.0000  4 Ni 2.60, 4 Ir 2.67, 4 As 2.67



[4]
A geometry-optimized TlGa2Te2 structure, computed with GGA-PBE.

Properties
**ΔE to the lowest computed polymorph**: 8.6 kJ/mol of atoms
**Crystal system**: tetragonal
**Spin magnetization**: 0.00 μB/f.u.
**V**: 27.370 Å³ per atom
**SG**: P4/mbm (127)
**Uncorrected formation energy**: -0.10 eV per atom
**Energy**: -3.05 eV per atom

Cell lengths 8.3138, 8.3138, 3.9599 Å; angles 90.00, 90.00, 90.00 degrees
Closest atoms and distances in Å follow each position.
Atoms (fractional coordinates):
Ga  0.6231  0.1231  0.0000  1 Ga 2.90, 6 Te 3.10-3.20
Ga  0.1231  0.3769  0.0000  1 Ga 2.90, 6 Te 3.10-3.20
Ga  0.8769  0.6231  0.0000  1 Ga 2.90, 6 Te 3.10-3.20
Ga  0.3769  0.8769  0.0000  1 Ga 2.90, 6 Te 3.10-3.20
Tl  0.0000  0.0000  0.0000  4 Ga 3.30, 8 Te 3.65
Tl  0.5000  0.5000  0.0000  4 Ga 3.30, 8 Te 3.65
Te  0.6742  0.8258  0.5000  6 Ga 3.10-3.20
Te  0.3258  0.1742  0.5000  6 Ga 3.10-3.20
Te  0.8258  0.3258  0.5000  6 Ga 3.10-3.20
Te  0.1742  0.6742  0.5000  6 Ga 3.10-3.20



[5]
A geometry-optimized Pu2ThTi structure, computed with GGA-PBE.

Properties
**ΔE to the lowest computed polymorph**: 35.9 kJ/mol of atoms
**Crystal system**: trigonal
**Spin magnetization**: 1.15 μB/f.u.
**Calculated formation energy**: 620 meV/atom
**V**: 22.874 Å³ per atom
**SG**: R-3m (166)
**Energy**: -10.37 eV per atom

Cell lengths 4.4417, 4.4417, 5.9376 Å; angles 68.04, 68.04, 60.00 degrees
Closest atoms and distances in Å follow each position.
Atoms (fractional coordinates):
Pu  0.8313  0.8313  0.5061  3 Ti 2.56, 3 Pu 2.57, 1 Th 2.71
Pu  0.1687  0.1687  0.4939  3 Ti 2.56, 3 Pu 2.57, 1 Th 2.71
Ti  0.5000  0.5000  0.5000  6 Pu 2.56
Th  0.0000  0.0000  0.0000  2 Pu 2.71



[6]
A geometry-optimized BaCeAs2Pt2 structure, computed with GGA-PBE.

Properties
**Crystal system**: trigonal
**Spin magnetization**: 0.39 μB/f.u.
**Calculated formation energy**: -1137 meV/atom
**V**: 23.932 Å³ per atom
**SG**: P-3m1 (164)
**Energy**: -6.01 eV per atom

Cell lengths 4.3825, 4.3825, 8.6329 Å; angles 90.00, 90.00, 120.00 degrees
Closest atoms and distances in Å follow each position.
Atoms (fractional coordinates):
As  0.3333  0.6667  0.7309  3 Pt 2.54
As  0.6667  0.3333  0.2691  3 Pt 2.54
Pt  0.3333  0.6667  0.2914  3 As 2.54
Pt  0.6667  0.3333  0.7086  3 As 2.54
Ba  0.0000  0.0000  0.0000  6 As 3.43, 6 Pt 3.57
Ce  0.0000  0.0000  0.5000  6 Pt 3.11, 6 As 3.22



Look up the V of the third one. 13.086 Å³ per atom



Number 1 is which compound? Nd2PuThBi4